[1]
Density functional theory data (PBE) for a relaxed structure of SrAc2US6.

Structure (POSCAR):
```
SrAc2US6
1.0
7.4157 0.0000 0.0000
-3.7059 6.4236 0.0000
-3.7061 -2.1384 6.3884
Sr Ac U S
1 2 1 6
Cartesian
0.0000 0.0000 0.0000
0.0016 0.0008 4.0625
0.0075 4.2810 0.9798
-3.7057 2.1434 3.3711
-2.7974 4.3331 2.0381
-4.7788 3.9069 5.1507
-1.6358 2.1962 5.1471
1.3589 1.8237 2.0376
5.1610 0.2556 2.0421
2.7205 0.3280 5.1473
```

ΔE_f (raw)   -43.401 kcal/mol of atoms
Fermi-level density of states   5.410 states/eV per cell

---

[2]
Density functional theory data (PBE) for a relaxed structure of SrAcY2S4.

Structure (POSCAR):
```
SrAcY2S4
1.0
7.0790 0.0000 0.0000
0.0000 4.0548 0.0000
-2.3185 0.0000 6.7685
Sr Ac Y S
1 1 2 4
Cartesian
0.0000 0.0000 0.0000
3.5395 2.0274 0.0000
-1.1593 2.0274 3.3842
2.3802 0.0000 3.3842
0.0005 0.0000 4.9063
1.1701 2.0274 1.8469
3.5904 2.0274 4.9215
4.7600 0.0000 1.8621
```

ΔE_f (raw)   -46.280 kcal/mol of atoms
Fermi-level density of states   3.232 states/eV per cell

---

[3]
Density functional theory data (PBE) for a relaxed structure of Sr2AcYS4.

Structure (POSCAR):
```
Sr2AcYS4
1.0
7.2340 0.0000 0.0000
0.0000 4.1683 0.0000
-2.3920 0.0000 6.9172
Sr Ac Y S
2 1 1 4
Cartesian
0.0000 0.0000 0.0000
3.6170 2.0842 0.0000
-1.1960 2.0842 3.4586
2.4210 0.0000 3.4586
0.1201 0.0000 5.1562
1.3055 2.0842 1.8268
3.5364 2.0842 5.0904
4.7219 0.0000 1.7610
```

ΔE_f (raw)   -46.586 kcal/mol of atoms
Fermi-level density of states   3.617 states/eV per cell